Model P:
Ba2SrPt | meta-GGA SCAN | PBEsol geometry

magnetization	0.077	Bohr magnetons per cell
mass density	4.99	g/cm³

Unit cell a=4.4507 b=4.4507 c=11.1181 alpha=78.45 beta=78.45 gamma=60.00
With the nearest neighbours (Å) after each atom.
Sites, in units of the cell vectors:
1 Sr 0.0000 0.0000 0.0000  6 Sr 4.45, 6 Ba 4.51
2 Ba 0.2192 0.2192 0.3423  3 Pt 3.08
3 Ba 0.7808 0.7808 0.6577  3 Pt 3.08
4 Pt 0.5000 0.5000 0.5000  6 Ba 3.08



Model Q:
Ba2SrPt | meta-GGA SCAN | PBEsol geometry

magnetization	0.000	Bohr magnetons per cell
mass density	6.82	g/cm³

Unit cell a=4.9750 b=5.2223 c=5.2223 alpha=90.05 beta=90.00 gamma=90.00
With the nearest neighbours (Å) after each atom.
Sites, in units of the cell vectors:
1 Ba 0.0000 0.5000 0.0000  4 Sr 3.61, 4 Pt 3.61, 4 Ba 3.69
2 Ba 0.0000 0.0000 0.5000  4 Pt 3.61, 4 Sr 3.61, 4 Ba 3.69
3 Pt 0.5000 0.0000 0.0000  8 Ba 3.61, 4 Sr 3.69
4 Sr 0.5000 0.5000 0.5000  8 Ba 3.61, 4 Pt 3.69



Model R:
Ba2SrPt | meta-GGA SCAN | PBEsol geometry

magnetization	0.174	Bohr magnetons per cell
mass density	4.97	g/cm³

Unit cell a=4.4144 b=6.3499 c=7.3593 alpha=115.58 beta=90.00 gamma=90.00
With the nearest neighbours (Å) after each atom.
Sites, in units of the cell vectors:
1 Sr 0.5000 0.3499 0.6998  2 Pt 2.95
2 Ba 0.0000 0.9979 0.9957  2 Pt 3.17
3 Ba 0.5000 0.6549 0.3099  2 Pt 3.04
4 Pt 0.0000 0.4973 0.9945  2 Sr 2.95, 4 Ba 3.04-3.17



Stability ranking, top and bottom: model R is the most stable and model Q is the least stable.